! La2NdCuSn3Ir2 PBE optimized geometry; values from VASP
! - uncorrected energy (eV/atom) = -6.048
! - theoretical density (g/cm3) = 9.79
! - volume (Å³ per cell) = 208.0
&SYSTEM
  ibrav = 0, nat = 9, ntyp = 5
/
ATOMIC_SPECIES
La 138.91 La.upf
Cu 63.55 Cu.upf
Sn 118.71 Sn.upf
Ir 192.22 Ir.upf
Nd 144.24 Nd.upf
ATOMIC_POSITIONS crystal
La 0.000 0.585 0.999
La 0.000 0.999 0.585
Cu 0.000 0.001 0.001
Sn 0.500 0.252 0.003
Sn 0.500 0.745 0.745
Sn 0.500 0.003 0.252
Ir 0.500 0.334 0.670
Ir 0.500 0.670 0.334
Nd 0.000 0.410 0.410
CELL_PARAMETERS angstrom
-0.944 3.409 2.171
-6.417 -3.316 2.417
6.445 -0.756 3.987